[1]
11
Lattice="-8.0913 -2.7913 -2.2923 2.8861 -6.1118 7.1932 1.3875 4.3364 3.1264" Properties=species:S:1:pos:R:3 comment="PrDy3Ho7 | the Alexandria database | PBE-GGA | relaxed" relative_energy_ev_per_atom=0.000 e_form_ev_per_atom=0.15 m_tot_mub_per_fu=0.0 pbc="T T T"
Pr -1.9089 -2.2834 4.0136
Dy -0.7858 2.4861 1.7818
Dy 1.4430 -3.0559 3.5966
Dy -3.0319 -7.0528 6.2454
Ho -3.8108 -3.6520 6.7553
Ho -4.3646 -4.8227 3.7471
Ho -4.2092 -2.9359 1.0603
Ho 0.3914 -1.6309 6.9669
Ho -3.3519 0.7725 0.4170
Ho 0.5468 0.2560 4.2802
Ho -0.0070 -0.9147 1.2719

***

[2]
4
Lattice="4.8301 0.0158 -0.0440 1.9618 4.4138 0.0440 -3.3779 -2.2425 2.6255" Properties=species:S:1:pos:R:3 comment="Zn2CuPt | the Alexandria database | PBE-GGA | relaxed" e_form_ev_per_atom=-0.33 m_tot_mub_per_fu=0.0 pbc="T T T"
Zn 6.7909 4.4289 0.0000
Zn 0.9890 2.1924 1.3348
Cu 3.3976 2.2159 0.0000
Pt 2.4240 -0.0061 1.2907

***

[3]
5
Lattice="4.6254 0.0000 0.0000 0.0000 4.6254 0.0000 0.0000 0.0000 4.6254" Properties=species:S:1:pos:R:3 comment="ScMo3H | the Alexandria database | PBE-GGA | relaxed" relative_energy_ev_per_atom=2.446 m_tot_mub_per_fu=0.0 pbc="T T T"
Sc 0.0000 0.0000 0.0000
H 2.3127 2.3127 2.3127
Mo 0.0000 2.3127 0.0000
Mo 0.0000 0.0000 2.3127
Mo 2.3127 0.0000 0.0000

***

[4]
4
Lattice="5.3803 -0.0725 0.0493 4.2752 3.2674 0.0493 1.9381 0.6413 4.0588" Properties=species:S:1:pos:R:3 comment="Mg2InNi | the Alexandria database | PBE-GGA | relaxed" e_form_ev_per_atom=-0.07 m_tot_mub_per_fu=0.0 pbc="T T T"
In 2.8984 0.9590 1.0394
Mg 2.1544 0.7128 3.9507
Mg 5.5805 1.8465 2.1868
Ni 8.6952 2.8771 3.1181

***

[5]
6
Lattice="3.4435 0.0000 0.0000 0.0000 4.6216 0.0000 0.0000 0.0000 8.9005" Properties=species:S:1:pos:R:3 comment="LiYSn | the Alexandria database | PBE-GGA | relaxed" e_form_ev_per_atom=-0.45 m_tot_mub_per_fu=0.0 pbc="T T T"
Y 1.7218 0.0000 2.6335
Y 1.7218 0.0000 6.0367
Sn 0.0000 2.3108 4.3294
Sn 0.0000 0.0000 8.7772
Li 0.0000 2.3108 1.4537
Li 1.7218 2.3108 8.2827

***

[6]
19
Lattice="-3.7024 -2.3414 7.5161 -5.3910 -1.6108 -6.6350 7.4967 -4.2704 -1.1151" Properties=species:S:1:pos:R:3 comment="TbIn6Hg12 | the Alexandria database | PBE-GGA | relaxed" relative_energy_ev_per_atom=0.000 e_form_ev_per_atom=-0.06 m_tot_mub_per_fu=0.0 pbc="T T T"
Tb 0.0000 0.0000 0.0000
In -4.1877 -4.5904 -1.9171
In -3.6778 -2.4192 1.8330
In -0.6415 -2.8493 -3.7694
In 2.5910 -3.6322 1.6831
In 2.0811 -5.8034 -2.0671
In -0.9552 -5.3733 3.5354
Hg -2.6691 -5.3064 0.8216
Hg -1.1191 -5.5259 -2.0419
Hg 0.5340 -5.9261 0.7433
Hg 1.0724 -2.9163 -1.0556
Hg -0.4776 -2.6968 1.8078
Hg -2.1307 -2.2965 -0.9773
Hg -5.8925 -4.6163 0.9160
Hg -3.8247 -1.9545 -3.7860
Hg -2.0445 -2.5418 4.7054
Hg 4.2958 -3.6064 -1.1500
Hg 2.2280 -6.2681 3.5520
Hg 0.4478 -5.6808 -4.9395

***

[7]
16
Lattice="-4.1755 7.1805 -2.2595 -7.4929 -4.2730 0.2673 5.1810 0.0162 6.8745" Properties=species:S:1:pos:R:3 comment="La4PmTh3As8 | the Alexandria database | PBE-GGA | relaxed" e_form_ev_per_atom=-1.53 m_tot_mub_per_fu=0.0 pbc="T T T"
La -2.0877 3.5903 -1.1298
La 0.5028 3.5984 2.3075
La 0.0000 0.0000 0.0000
La 2.5905 0.0081 3.4373
Pm -3.7464 -2.1365 0.1337
Th -5.8342 1.4538 -0.9961
Th -3.2437 1.4619 2.4412
Th -1.1559 -2.1284 3.5709
As -1.4426 -1.3733 6.4701
As -4.0236 -1.3814 3.0455
As -0.3727 0.7191 2.9740
As -3.5227 2.2038 5.3444
As -2.9647 0.7200 -0.4621
As -6.1146 2.2047 1.9083
As -2.4637 4.3051 1.8368
As -5.0447 4.2971 -1.5877

***

[8]
16
Lattice="5.4083 0.0000 0.0000 0.0000 6.9510 0.0000 0.0000 0.0000 13.4637" Properties=species:S:1:pos:R:3 comment="La5In2Ge | the Alexandria database | PBE-GGA | relaxed" e_form_ev_per_atom=-0.50 m_tot_mub_per_fu=0.0 pbc="T T T"
La 0.0000 0.0000 6.7318
La 0.0000 3.4755 0.0000
La 0.0000 5.9777 2.9275
La 0.0000 0.9733 10.5362
La 0.0000 4.4488 9.6593
La 0.0000 2.5022 3.8043
La 2.7041 4.5118 5.5600
La 2.7041 2.4392 7.9036
La 2.7041 5.9147 12.2919
La 2.7041 1.0363 1.1718
In 2.7041 4.2314 2.0811
In 2.7041 2.7196 11.3825
In 2.7041 6.1951 8.8130
In 2.7041 0.7559 4.6507
Ge 0.0000 3.4755 6.7318
Ge 0.0000 0.0000 0.0000

***

no.,V (Å³ per cell)
1,356.2
2,55.9
3,99.0
4,72.3
5,141.6
6,492.6
7,452.7
8,506.1